# 1
{
  "formula": "KAg5S3",
  "functional": "meta-GGA SCAN",
  "state": "single point on PBEsol structure",
  "raw_formation_energy_ev_per_atom": -0.386,
  "lattice_angstrom": [[7.8563, 0.0000, 0.0000], [0.0000, 13.0107, 0.0000], [0.0000, -6.5053, 11.2676]],
  "species": ["K", "K", "K", "K", "K", "K", "Ag", "Ag", "Ag", "Ag", "Ag", "Ag", "Ag", "Ag", "Ag", "Ag", "Ag", "Ag", "Ag", "Ag", "Ag", "Ag", "Ag", "Ag", "Ag", "Ag", "Ag", "Ag", "Ag", "Ag", "Ag", "Ag", "Ag", "Ag", "Ag", "Ag", "S", "S", "S", "S", "S", "S", "S", "S", "S", "S", "S", "S", "S", "S", "S", "S", "S", "S"],
  "fractional_positions": [[0.4991, 0.6667, 0.3333], [0.0009, 0.6667, 0.3333], [0.5009, 0.3333, 0.6667], [0.9991, 0.3333, 0.6667], [0.5000, 0.0000, 0.0000], [0.0000, 0.0000, 0.0000], [0.2500, 0.0048, 0.7105], [0.2500, 0.2895, 0.2943], [0.2500, 0.7057, 0.9952], [0.7500, 0.7105, 0.0048], [0.7500, 0.9952, 0.7057], [0.7500, 0.2943, 0.2895], [0.5000, 0.5394, 0.0000], [0.0000, 0.0000, 0.5394], [0.0000, 0.4606, 0.4606], [0.5000, 0.4606, 0.4606], [0.5000, 0.0000, 0.5394], [0.0000, 0.5394, 0.0000], [0.4993, 0.8141, 0.6672], [0.4993, 0.8530, 0.1859], [0.4993, 0.3328, 0.1470], [0.5007, 0.1859, 0.8530], [0.0007, 0.3328, 0.1470], [0.0007, 0.8141, 0.6672], [0.0007, 0.8530, 0.1859], [0.9993, 0.1470, 0.3328], [0.9993, 0.6672, 0.8141], [0.5007, 0.6672, 0.8141], [0.5007, 0.1470, 0.3328], [0.9993, 0.1859, 0.8530], [0.7500, 0.3705, 0.0011], [0.7500, 0.6306, 0.6295], [0.7500, 0.9989, 0.3694], [0.2500, 0.6295, 0.6306], [0.2500, 0.0011, 0.3705], [0.2500, 0.3694, 0.9989], [0.7500, 0.4484, 0.2263], [0.7500, 0.7779, 0.5516], [0.7500, 0.7737, 0.2221], [0.2500, 0.5516, 0.7779], [0.2500, 0.2263, 0.4484], [0.2500, 0.2221, 0.7737], [0.7500, 0.4697, 0.8819], [0.7500, 0.4122, 0.5303], [0.7500, 0.1181, 0.5878], [0.2500, 0.5303, 0.4122], [0.2500, 0.8819, 0.4697], [0.2500, 0.5878, 0.1181], [0.7500, 0.1371, 0.9220], [0.7500, 0.7849, 0.8629], [0.7500, 0.0780, 0.2151], [0.2500, 0.8629, 0.7849], [0.2500, 0.9220, 0.1371], [0.2500, 0.2151, 0.0780]]
}

***

# 2
{
  "formula": "KAg3S2",
  "functional": "meta-GGA SCAN",
  "state": "single point on PBEsol structure",
  "raw_formation_energy_ev_per_atom": -0.473,
  "lattice_angstrom": [[-7.1427, -1.1794, -5.5207], [-0.9870, -7.8180, -4.5598], [-6.6226, -5.8077, 2.3021]],
  "species": ["K", "K", "K", "K", "Ag", "Ag", "Ag", "Ag", "Ag", "Ag", "Ag", "Ag", "Ag", "Ag", "Ag", "Ag", "S", "S", "S", "S", "S", "S", "S", "S"],
  "fractional_positions": [[0.6250, 0.1250, 0.1250], [0.1250, 0.1250, 0.1250], [0.1250, 0.1250, 0.6250], [0.1250, 0.6250, 0.1250], [0.5876, 0.9124, 0.5876], [0.3376, 0.6624, 0.3376], [0.5876, 0.5876, 0.9124], [0.5876, 0.9124, 0.9124], [0.9124, 0.5876, 0.5876], [0.9124, 0.9124, 0.5876], [0.6624, 0.6624, 0.3376], [0.3376, 0.3376, 0.6624], [0.6624, 0.3376, 0.6624], [0.6624, 0.3376, 0.3376], [0.3376, 0.6624, 0.6624], [0.9124, 0.5876, 0.9124], [0.3693, 0.3693, 0.3693], [0.3578, 0.8807, 0.8807], [0.8807, 0.3578, 0.8807], [0.8807, 0.8807, 0.3578], [0.3693, 0.3693, 0.8922], [0.8807, 0.8807, 0.8807], [0.8922, 0.3693, 0.3693], [0.3693, 0.8922, 0.3693]]
}

***

# 3
{
  "formula": "K2VAgS4",
  "functional": "meta-GGA SCAN",
  "state": "single point on PBEsol structure",
  "raw_formation_energy_ev_per_atom": -1.105,
  "lattice_angstrom": [[5.6802, 0.0000, 0.0000], [2.8401, 6.3931, 0.0000], [2.8401, 0.0000, 11.0022]],
  "species": ["K", "K", "K", "K", "S", "S", "S", "S", "S", "S", "S", "S", "Ag", "Ag", "V", "V"],
  "fractional_positions": [[0.5687, 0.5000, 0.8625], [0.1813, 0.0000, 0.6375], [0.9313, 0.5000, 0.1375], [0.8187, 0.0000, 0.3625], [0.1631, 0.2036, 0.8842], [0.6334, 0.2036, 0.1158], [0.2508, 0.7964, 0.1158], [0.9528, 0.7964, 0.8842], [0.5869, 0.2964, 0.6158], [0.4992, 0.7036, 0.3842], [0.1166, 0.2964, 0.3842], [0.7972, 0.7036, 0.6158], [0.5000, 0.0000, 0.0000], [0.2500, 0.5000, 0.5000], [0.0000, 0.0000, 0.0000], [0.7500, 0.5000, 0.5000]]
}

***

# 4
{
  "formula": "KAg3Sb",
  "functional": "meta-GGA SCAN",
  "state": "single point on PBEsol structure",
  "raw_formation_energy_ev_per_atom": 1.221,
  "lattice_angstrom": [[-4.3656, -0.5180, -2.7126], [-0.6732, -4.7214, 1.9851], [-2.6783, 2.0311, 3.9225]],
  "species": ["Sb", "K", "Ag", "Ag", "Ag"],
  "fractional_positions": [[0.5000, 0.5000, 0.5000], [0.0000, 0.0000, 0.0000], [0.0000, 0.5000, 0.0000], [0.0000, 0.0000, 0.5000], [0.5000, 0.0000, 0.0000]]
}

***

# 5
{
  "formula": "KAgSb",
  "functional": "meta-GGA SCAN",
  "state": "single point on PBEsol structure",
  "raw_formation_energy_ev_per_atom": 0.615,
  "lattice_angstrom": [[-2.1816, -4.2904, -1.8096], [1.3653, -4.5780, 1.9024], [-3.2875, -2.6482, 2.9361]],
  "species": ["Ag", "K", "Sb"],
  "fractional_positions": [[0.5000, 0.5000, 0.5000], [0.2500, 0.2500, 0.2500], [0.0000, 0.0000, 0.0000]]
}

***

# 6
{
  "formula": "KAg2Sb",
  "functional": "meta-GGA SCAN",
  "state": "single point on PBEsol structure",
  "raw_formation_energy_ev_per_atom": -0.203,
  "lattice_angstrom": [[4.7711, 0.0000, 0.0000], [2.3856, 4.1315, 0.0572], [2.3856, 1.2829, 5.9630]],
  "species": ["Sb", "K", "Ag", "Ag"],
  "fractional_positions": [[0.6938, 0.6947, 0.9176], [0.4999, 0.4967, 0.5034], [0.9925, 0.9936, 0.0215], [0.3137, 0.3150, 0.0575]]
}

***

# 7
{
  "formula": "KAg2Sb",
  "functional": "meta-GGA SCAN",
  "state": "single point on PBEsol structure",
  "raw_formation_energy_ev_per_atom": 0.030,
  "lattice_angstrom": [[3.4812, 0.0000, 0.0000], [0.0000, 3.4812, 0.0000], [0.0000, 0.0000, 8.1010]],
  "species": ["Ag", "Ag", "K", "Sb"],
  "fractional_positions": [[0.0000, 0.0000, 0.0185], [0.5000, 0.5000, 0.1790], [0.0000, 0.0000, 0.4884], [0.5000, 0.5000, 0.8141]]
}

***

# 8
{
  "formula": "K2AgSb2",
  "functional": "meta-GGA SCAN",
  "state": "single point on PBEsol structure",
  "raw_formation_energy_ev_per_atom": -0.353,
  "lattice_angstrom": [[-0.9168, 0.3620, -5.6100], [6.9020, -1.9642, -1.2547], [-2.0143, -6.9999, -0.1225]],
  "species": ["Sb", "Sb", "Sb", "Sb", "K", "K", "K", "K", "Ag", "Ag"],
  "fractional_positions": [[0.0000, 0.3571, 0.8571], [0.0000, 0.8571, 0.6429], [0.0000, 0.6429, 0.1429], [0.0000, 0.1429, 0.3571], [0.5000, 0.1656, 0.6656], [0.5000, 0.6656, 0.8344], [0.5000, 0.8344, 0.3344], [0.5000, 0.3344, 0.1656], [0.0000, 0.0000, 0.0000], [0.0000, 0.5000, 0.5000]]
}

***

# 9
{
  "formula": "KAg2Sb",
  "functional": "meta-GGA SCAN",
  "state": "single point on PBEsol structure",
  "raw_formation_energy_ev_per_atom": -0.189,
  "lattice_angstrom": [[4.7952, 0.0000, 0.0000], [-2.3976, 4.1523, -0.0311], [0.0000, -2.7291, 5.8016]],
  "species": ["Sb", "K", "Ag", "Ag"],
  "fractional_positions": [[0.0000, 0.0000, 0.5000], [0.5000, 0.0000, 0.0000], [0.6888, 0.3776, 0.5664], [0.3112, 0.6224, 0.4336]]
}

***

# 10
{
  "formula": "KAg2Sb",
  "functional": "meta-GGA SCAN",
  "state": "single point on PBEsol structure",
  "raw_formation_energy_ev_per_atom": 0.172,
  "lattice_angstrom": [[3.7263, 0.0000, 0.0000], [0.0000, 3.7263, 0.0000], [0.0000, 0.0000, 7.3832]],
  "species": ["Ag", "Ag", "K", "Sb"],
  "fractional_positions": [[0.0000, 0.0000, 0.6884], [0.0000, 0.0000, 0.3116], [0.5000, 0.5000, 0.0000], [0.5000, 0.5000, 0.5000]]
}

***

# 11
{
  "formula": "K2SiAgSb",
  "functional": "meta-GGA SCAN",
  "state": "single point on PBEsol structure",
  "raw_formation_energy_ev_per_atom": 0.381,
  "lattice_angstrom": [[4.9487, 0.0000, 0.0000], [0.0000, 6.3976, 0.0000], [0.0000, 0.0000, 6.3976]],
  "species": ["Sb", "K", "K", "Si", "Ag"],
  "fractional_positions": [[0.5000, 0.0000, 0.0000], [0.0000, 0.0000, 0.5000], [0.0000, 0.5000, 0.0000], [0.0000, 0.0000, 0.0000], [0.5000, 0.5000, 0.5000]]
}

***

# 12
{
  "formula": "KAgSbTe2",
  "functional": "meta-GGA SCAN",
  "state": "single point on PBEsol structure",
  "raw_formation_energy_ev_per_atom": 1.184,
  "lattice_angstrom": [[-2.2362, -1.8941, 4.8744], [5.0855, 0.8558, 2.6656], [-1.6211, 5.4064, 1.3572]],
  "species": ["Sb", "K", "Te", "Te", "Ag"],
  "fractional_positions": [[0.5000, 0.0000, 0.0000], [0.0000, 0.0000, 0.0000], [0.0000, 0.0000, 0.5000], [0.0000, 0.5000, 0.0000], [0.5000, 0.5000, 0.5000]]
}

***

What did the eleventh record say?
{
  "formula": "K2SiAgSb",
  "functional": "meta-GGA SCAN",
  "state": "single point on PBEsol structure",
  "raw_formation_energy_ev_per_atom": 0.381,
  "lattice_angstrom": [[4.9487, 0.0000, 0.0000], [0.0000, 6.3976, 0.0000], [0.0000, 0.0000, 6.3976]],
  "species": ["Sb", "K", "K", "Si", "Ag"],
  "fractional_positions": [[0.5000, 0.0000, 0.0000], [0.0000, 0.0000, 0.5000], [0.0000, 0.5000, 0.0000], [0.0000, 0.0000, 0.0000], [0.5000, 0.5000, 0.5000]]
}